(1)
# PrDy3Pt, optimized geometry, DFT GGA-PBE
# formation energy from the elements	-383.4	meV per atom
# distance to the lowest polymorph of the same formula	0.08	eV/f.u.
# total magnetization	0.00	μB per cell
# calculated volume	166.16	Å³/cell
# DFT total energy	-5.31	eV/atom
# mass density	8.230	Mg/m³
data_PrDy3Pt
_cell_length_a 5.498
_cell_length_b 5.498
_cell_length_c 5.498
_cell_angle_alpha 90.00
_cell_angle_beta 90.00
_cell_angle_gamma 90.00
_space_group_name_H-M_alt 'P m -3 m'
_space_group_IT_number 221
_space_group_name_Hall '-P 4 2 3'
loop_
_atom_site_label
_atom_site_type_symbol
_atom_site_fract_x
_atom_site_fract_y
_atom_site_fract_z
Pr1 Pr 0.000 0.000 0.000
Dy1 Dy 0.000 0.500 0.500
Pt1 Pt 0.500 0.500 0.500

***

(2)
# Ba3LiTl, optimized geometry, DFT GGA-PBE
# formation energy from the elements	-112.6	meV per atom
# distance to the lowest polymorph of the same formula	0.30	eV/f.u.
# total magnetization	0.00	μB per cell
# calculated volume	470.93	Å³/cell
# DFT total energy	-2.12	eV/atom
# mass density	4.396	Mg/m³
data_Ba3LiTl
_cell_length_a 4.586
_cell_length_b 9.790
_cell_length_c 10.783
_cell_angle_alpha 90.20
_cell_angle_beta 90.05
_cell_angle_gamma 103.39
_space_group_name_H-M_alt 'P -1'
_space_group_IT_number 2
loop_
_space_group_symop_operation_xyz
'x,y,z'
'-x,-y,-z'
loop_
_atom_site_label
_atom_site_type_symbol
_atom_site_fract_x
_atom_site_fract_y
_atom_site_fract_z
Ba1 Ba 0.055 0.113 0.322
Ba2 Ba 0.228 0.458 0.669
Ba3 Ba 0.401 0.809 0.085
Li1 Li 0.217 0.432 0.066
Tl1 Tl 0.410 0.820 0.424

***

(3)
# ErAs2RuRh5, optimized geometry, DFT GGA-PBE
# formation energy from the elements	13.1	meV per atom
# total magnetization	2.05	μB per cell
# calculated volume	185.09	Å³/cell
# DFT total energy	-6.64	eV/atom
# mass density	8.368	Mg/m³
data_ErAs2RuRh5
_cell_length_a 3.972
_cell_length_b 3.972
_cell_length_c 11.730
_cell_angle_alpha 90.00
_cell_angle_beta 90.00
_cell_angle_gamma 90.00
_space_group_name_H-M_alt 'P 4/m m m'
_space_group_IT_number 123
_space_group_name_Hall '-P 4 2'
loop_
_atom_site_label
_atom_site_type_symbol
_atom_site_fract_x
_atom_site_fract_y
_atom_site_fract_z
Er1 Er 0.000 0.000 0.000
As1 As 0.500 0.500 0.298
Ru1 Ru 0.500 0.500 0.500
Rh1 Rh 0.000 0.500 0.178
Rh2 Rh 0.500 0.500 0.000

***

(4)
# Pm2In3Cu, optimized geometry, DFT GGA-PBE
# formation energy from the elements	-414.9	meV per atom
# distance to the lowest polymorph of the same formula	0.00	eV/f.u.
# total magnetization	0.00	μB per cell
# calculated volume	151.32	Å³/cell
# DFT total energy	-4.05	eV/atom
# mass density	7.659	Mg/m³
data_Pm2In3Cu
_cell_length_a 3.756
_cell_length_b 4.808
_cell_length_c 8.378
_cell_angle_alpha 90.00
_cell_angle_beta 90.00
_cell_angle_gamma 90.00
_space_group_name_H-M_alt 'P m m 2'
_space_group_IT_number 25
loop_
_space_group_symop_operation_xyz
'x,y,z'
'-x,-y,z'
'-x,y,z'
'x,-y,z'
loop_
_atom_site_label
_atom_site_type_symbol
_atom_site_fract_x
_atom_site_fract_y
_atom_site_fract_z
Pm1 Pm 0.000 0.000 0.000
Pm2 Pm 0.000 0.500 0.480
In1 In 0.500 0.000 0.634
In2 In 0.500 0.500 0.170
In3 In 0.500 0.500 0.824
Cu1 Cu 0.500 0.000 0.314

***

(5)
# DyYErCu, optimized geometry, DFT GGA-PBE
# formation energy from the elements	-102.6	meV per atom
# total magnetization	0.00	μB per cell
# calculated volume	105.23	Å³/cell
# DFT total energy	-5.03	eV/atom
# mass density	7.610	Mg/m³
data_DyYErCu
_cell_length_a 3.479
_cell_length_b 3.479
_cell_length_c 8.695
_cell_angle_alpha 90.00
_cell_angle_beta 90.00
_cell_angle_gamma 90.00
_space_group_name_H-M_alt 'P 4 m m'
_space_group_IT_number 99
loop_
_space_group_symop_operation_xyz
'x,y,z'
'-y,x,z'
'-x,-y,z'
'y,-x,z'
'-x,y,z'
'y,x,z'
'x,-y,z'
'-y,-x,z'
loop_
_atom_site_label
_atom_site_type_symbol
_atom_site_fract_x
_atom_site_fract_y
_atom_site_fract_z
Dy1 Dy 0.000 0.000 0.000
Y1 Y 0.500 0.500 0.305
Er1 Er 0.000 0.000 0.607
Cu1 Cu 0.500 0.500 0.798

***

(6)
# ZnTe2, optimized geometry, DFT GGA-PBE
# total magnetization	0.00	μB per cell
# calculated volume	318.94	Å³/cell
# DFT total energy	-2.61	eV/atom
# mass density	6.677	Mg/m³
# energy relative to the elements, uncorrected	-88.6	meV per atom
data_ZnTe2
_cell_length_a 4.164
_cell_length_b 12.704
_cell_length_c 6.029
_cell_angle_alpha 90.00
_cell_angle_beta 90.00
_cell_angle_gamma 90.00
_space_group_name_H-M_alt 'C m c m'
_space_group_IT_number 63
_space_group_name_Hall '-C 2c 2'
loop_
_atom_site_label
_atom_site_type_symbol
_atom_site_fract_x
_atom_site_fract_y
_atom_site_fract_z
Zn1 Zn 0.000 0.168 0.250
Te1 Te 0.000 0.186 0.750
Te2 Te 0.000 0.482 0.750

***

Q: Which formula does entry 2 have?
A: Ba3LiTl